This record from Alexandria via LeMat-Bulk describes a relaxed structure of Sm3Th5Zn12. The functional is PBE-GGA.

Summary:
N(E_F), states/eV per atom: 0.796
ρ, kg/m³: 6817
Uncorrected energy, eV/atom: -2.940
Symmetry: Ia-3d, No. 230
Total moment, μB per cell: 0.0

Cell: 14.475 14.475 14.475 Å, 109.47 109.47 109.47°
Fractional positions:
1 Sm 0.125 0.250 0.375
2 Sm 0.125 0.375 0.750
3 Sm 0.250 0.375 0.125
4 Sm 0.250 0.875 0.625
5 Sm 0.375 0.125 0.250
6 Sm 0.375 0.750 0.125
7 Sm 0.625 0.250 0.875
8 Sm 0.625 0.875 0.750
9 Sm 0.750 0.125 0.375
10 Sm 0.750 0.625 0.875
11 Sm 0.875 0.625 0.250
12 Sm 0.875 0.750 0.625
13 Th 0.000 0.000 0.000
14 Th 0.000 0.000 0.500
15 Th 0.000 0.500 0.000
16 Th 0.000 0.500 0.500
17 Th 0.125 0.750 0.875
18 Th 0.125 0.875 0.250
19 Th 0.250 0.125 0.875
20 Th 0.250 0.625 0.375
21 Th 0.375 0.250 0.625
22 Th 0.375 0.625 0.750
23 Th 0.500 0.000 0.000
24 Th 0.500 0.000 0.500
25 Th 0.500 0.500 0.000
26 Th 0.500 0.500 0.500
27 Th 0.625 0.375 0.250
28 Th 0.625 0.750 0.375
29 Th 0.750 0.375 0.625
30 Th 0.750 0.875 0.125
31 Th 0.875 0.125 0.750
32 Th 0.875 0.250 0.125
33 Zn 0.075 0.656 0.423
34 Zn 0.075 0.919 0.652
35 Zn 0.077 0.733 0.652
36 Zn 0.077 0.844 0.425
37 Zn 0.081 0.233 0.156
38 Zn 0.081 0.348 0.925
39 Zn 0.152 0.233 0.577
40 Zn 0.152 0.419 0.575
41 Zn 0.156 0.081 0.233
42 Zn 0.156 0.575 0.923
43 Zn 0.233 0.156 0.081
44 Zn 0.233 0.577 0.152
45 Zn 0.267 0.348 0.923
46 Zn 0.267 0.419 0.344
47 Zn 0.344 0.267 0.419
48 Zn 0.344 0.577 0.925
49 Zn 0.348 0.923 0.267
50 Zn 0.348 0.925 0.081
51 Zn 0.419 0.344 0.267
52 Zn 0.419 0.575 0.152
53 Zn 0.423 0.075 0.656
54 Zn 0.423 0.848 0.767
55 Zn 0.425 0.077 0.844
56 Zn 0.425 0.848 0.581
57 Zn 0.575 0.152 0.419
58 Zn 0.575 0.923 0.156
59 Zn 0.577 0.152 0.233
60 Zn 0.577 0.925 0.344
61 Zn 0.581 0.425 0.848
62 Zn 0.581 0.656 0.733
63 Zn 0.652 0.075 0.919
64 Zn 0.652 0.077 0.733
65 Zn 0.656 0.423 0.075
66 Zn 0.656 0.733 0.581
67 Zn 0.733 0.581 0.656
68 Zn 0.733 0.652 0.077
69 Zn 0.767 0.423 0.848
70 Zn 0.767 0.844 0.919
71 Zn 0.844 0.425 0.077
72 Zn 0.844 0.919 0.767
73 Zn 0.848 0.581 0.425
74 Zn 0.848 0.767 0.423
75 Zn 0.919 0.652 0.075
76 Zn 0.919 0.767 0.844
77 Zn 0.923 0.156 0.575
78 Zn 0.923 0.267 0.348
79 Zn 0.925 0.081 0.348
80 Zn 0.925 0.344 0.577